(1)
Entry from Alexandria: crystalline LiOsC at its relaxed geometry (GGA-PBE).

extended XYZ file:
```
3
Lattice="4.221 0.000 0.000 0.000 3.340 0.000 0.000 -1.670 2.893" Properties=species:S:1:pos:R:3 pbc="T T T"
C 0.703 1.670 0.964
Li 2.815 0.000 1.929
Os 0.704 0.000 0.000
```

Results
M_tot = 0.00 Bohr magnetons per cell
Mass density = 8.5 g cm⁻³
V = 40.8 Å³/f.u.
E = -7.191 eV per atom
SG = No. 187

***

(2)
Entry from Alexandria: crystalline LiOsC2 at its relaxed geometry (GGA-PBE).

extended XYZ file:
```
4
Lattice="-0.808 -3.066 1.828 1.325 -0.523 3.372 -2.245 0.129 2.888" Properties=species:S:1:pos:R:3 pbc="T T T"
C -0.432 -0.865 2.022
C -1.296 -2.595 6.067
Os -0.864 -1.730 4.044
Li 0.000 0.000 0.000
```

Results
Offset from the most stable computed form = 1.759 eV per formula unit
M_tot = 0.00 Bohr magnetons per cell
Mass density = 10.6 g cm⁻³
V = 34.7 Å³/f.u.
E = -6.707 eV per atom
SG = No. 225

***

(3)
Entry from Alexandria: crystalline LiOs3C at its relaxed geometry (GGA-PBE).

extended XYZ file:
```
5
Lattice="-3.458 -1.298 1.625 1.654 0.195 3.675 -1.261 3.815 0.365" Properties=species:S:1:pos:R:3 pbc="T T T"
Os 0.827 0.098 1.838
Os -1.729 -0.649 0.813
Os -0.631 1.908 0.182
Li -1.532 1.356 2.833
C 0.000 0.000 0.000
```

Results
Offset from the most stable computed form = 0.000 eV per formula unit
M_tot = 0.00 Bohr magnetons per cell
Mass density = 14.9 g cm⁻³
V = 65.7 Å³/f.u.
E = -8.419 eV per atom
SG = No. 221

***

(4)
Entry from Alexandria: crystalline Li2OsPbC at its relaxed geometry (GGA-PBE).

extended XYZ file:
```
5
Lattice="4.876 0.000 0.000 0.000 5.173 0.000 0.000 0.000 4.876" Properties=species:S:1:pos:R:3 pbc="T T T"
Li 2.438 0.000 0.000
Pb 0.000 2.586 0.000
C 2.438 2.586 2.438
Li 0.000 0.000 2.438
Os 0.000 0.000 0.000
```

Results
M_tot = 1.79 Bohr magnetons per cell
Mass density = 5.7 g cm⁻³
V = 123.0 Å³/f.u.
E = -3.666 eV per atom
SG = No. 123

***

(5)
Entry from Alexandria: crystalline LiPm2OsC at its relaxed geometry (GGA-PBE).

extended XYZ file:
```
5
Lattice="-1.117 -0.672 3.699 1.586 -4.916 -0.414 4.708 1.378 1.672" Properties=species:S:1:pos:R:3 pbc="T T T"
Os -0.559 -0.336 1.850
Pm 2.354 0.689 0.836
Li 2.588 -2.105 2.479
Pm 0.793 -2.458 -0.207
C 0.000 0.000 0.000
```

Results
M_tot = 0.00 Bohr magnetons per cell
Mass density = 7.9 g cm⁻³
V = 105.3 Å³/f.u.
E = -6.572 eV per atom
SG = No. 123

***

(6)
Entry from Alexandria: crystalline LiOsRu2C at its relaxed geometry (GGA-PBE).

extended XYZ file:
```
5
Lattice="-0.084 -1.261 -4.658 -3.175 -2.126 0.632 -2.763 3.833 -0.987" Properties=species:S:1:pos:R:3 pbc="T T T"
Os 0.000 0.000 0.000
C -1.587 -1.063 0.316
Li -3.011 0.223 -2.507
Ru -1.381 1.916 -0.494
Ru -0.042 -0.630 -2.329
```

Results
M_tot = 1.85 Bohr magnetons per cell
Mass density = 7.6 g cm⁻³
V = 90.2 Å³/f.u.
E = -6.595 eV per atom
SG = No. 123